CsV2BO8: optimized geometry, PBE with a Hubbard U.

a b c (Å): 5.2419 5.2419 8.4969
angles (deg): 90.00 90.00 120.00
Last column: magnetic moment on the atom in μB.
Atoms (fractional coordinates):
O (0.8507, 0.7009, 0.3879)  0.28
O (0.3333, 0.6667, 0.8756)  0.15
V (0.3333, 0.6667, 0.6783)  -0.17
O (0.1499, 0.8507, 0.6121)  0.28
B (0.0000, 0.0000, 0.5000)  -0.02
O (0.2991, 0.1499, 0.3879)  0.28
Cs (0.0000, 0.0000, 0.0000)  0.00
O (0.6667, 0.3333, 0.1244)  0.15
O (0.7009, 0.8501, 0.6121)  0.28
V (0.6667, 0.3333, 0.3217)  -0.17
O (0.1493, 0.2991, 0.6121)  0.28
O (0.8501, 0.1493, 0.3879)  0.28

space-group type: P-3m1
E_tot: -6.62 eV/atom
size of the total moment: 0.16 μB per atom